VASP calculation (GGA-PBE) on a relaxed Mg16Al12Re crystal.

Summary:
* magnetic moment: 0.00 μB/f.u.
* formation enthalpy at 0 K: 7 meV per atom

abc: 8.936 8.936 8.936
angles: 108.51 108.51 108.51
Atoms (fractional coordinates):
Mg (0.000, 0.000, 0.000)
Mg (0.264, 0.667, 0.667)
Mg (0.307, 0.580, 0.979)
Mg (0.307, 0.979, 0.580)
Mg (0.341, 0.981, 0.981)
Mg (0.415, 0.415, 0.676)
Mg (0.415, 0.676, 0.415)
Mg (0.580, 0.307, 0.979)
Mg (0.580, 0.979, 0.307)
Mg (0.667, 0.264, 0.667)
Mg (0.667, 0.667, 0.264)
Mg (0.676, 0.415, 0.415)
Mg (0.979, 0.307, 0.580)
Mg (0.979, 0.580, 0.307)
Mg (0.981, 0.341, 0.981)
Mg (0.981, 0.981, 0.341)
Al (0.142, 0.333, 0.333)
Al (0.177, 0.177, 0.786)
Al (0.177, 0.786, 0.177)
Al (0.333, 0.142, 0.333)
Al (0.333, 0.333, 0.142)
Al (0.622, 0.802, 0.983)
Al (0.622, 0.983, 0.802)
Al (0.786, 0.177, 0.177)
Al (0.802, 0.622, 0.983)
Al (0.802, 0.983, 0.622)
Al (0.983, 0.622, 0.802)
Al (0.983, 0.802, 0.622)
Re (0.715, 0.715, 0.715)